Density functional theory data (GGA-PBE) for a relaxed structure of SnIrPtI.

a = 3.826 Å, b = 3.082 Å, c = 7.683 Å
α = 90.00°, β = 90.96°, γ = 90.00°
Space group Pm (No. 6)
Asymmetric unit:
Sn 0.000 0.000 0.000
Ir 0.507 0.500 0.160
Pt 0.497 0.500 0.809
I 0.738 0.500 0.483

Calculated values
**E_form (uncorrected)**: 0.53 eV/f.u.
**Offset from the most stable computed form**: 0.093 eV/atom
**Total moment**: 0.0 μB per cell
**Final energy**: -19.93 eV for the cell shown

=====

Density functional theory data (GGA-PBE) for a relaxed structure of Na3IrBr6.

a = 7.084 Å, b = 7.489 Å, c = 12.569 Å
α = 90.00°, β = 124.16°, γ = 90.00°
Space group P2_1/c (No. 14)
Asymmetric unit:
Na 0.000 0.000 0.000
Na 0.211 0.092 0.746
Ir 0.500 0.000 0.500
Br 0.146 0.173 0.435
Br 0.271 0.714 0.431
Br 0.411 0.045 0.277

Calculated values
**E_form (uncorrected)**: -9.86 eV/f.u.
**Offset from the most stable computed form**: 0.000 eV/atom
**Total moment**: 0.0 μB per cell
**Final energy**: -65.43 eV for the cell shown

=====

Density functional theory data (GGA-PBE) for a relaxed structure of TlPb2Se.

a = 3.9567 Å, b = 3.9567 Å, c = 27.7433 Å
α = 90.00°, β = 90.00°, γ = 120.00°
Space group R3m (No. 160, hexagonal axes)
Asymmetric unit:
Tl 0.0000 0.0000 0.0000
Pb 0.0000 0.0000 0.2364
Pb 0.0000 0.0000 0.4749
Se 0.0000 0.0000 0.7409

Calculated values
**E_form (uncorrected)**: -0.47 eV/f.u.
**Offset from the most stable computed form**: 0.034 eV/atom
**Total moment**: 0.0 μB per cell
**Final energy**: -41.22 eV for the cell shown